# U2HgCl7 PBE optimized geometry
data_U2HgCl7
_cell_length_a 8.499
_cell_length_b 14.248
_cell_length_c 5.478
_cell_angle_alpha 90.00
_cell_angle_beta 90.00
_cell_angle_gamma 90.00
_space_group_name_H-M_alt 'C m m m'
_space_group_IT_number 65
_space_group_name_Hall '-C 2 2'
loop_
_atom_site_label
_atom_site_type_symbol
_atom_site_fract_x
_atom_site_fract_y
_atom_site_fract_z
_atom_site_occupancy
U1 U 0.000 0.197 0.000 1
Hg1 Hg 0.000 0.500 0.500 1
Cl1 Cl 0.000 0.000 0.000 1
Cl2 Cl 0.000 0.196 0.500 1
Cl3 Cl 0.189 0.356 0.000 1
# - Uncorrected formation energy: -1.498 eV/atom
# - D(E_F): 22.56 states/eV per cell

=====

# UHg2Cl5 PBE optimized geometry
data_UHg2Cl5
_cell_length_a 14.705
_cell_length_b 7.870
_cell_length_c 7.874
_cell_angle_alpha 90.00
_cell_angle_beta 122.28
_cell_angle_gamma 90.00
_space_group_name_H-M_alt 'C 1 m 1'
_space_group_IT_number 8
_space_group_name_Hall 'C -2y'
loop_
_atom_site_label
_atom_site_type_symbol
_atom_site_fract_x
_atom_site_fract_y
_atom_site_fract_z
_atom_site_occupancy
U1 U 0.000 0.000 0.000 1
Hg1 Hg 0.244 0.000 0.744 1
Hg2 Hg 0.244 0.500 0.245 1
Cl1 Cl 0.198 0.000 0.198 1
Cl2 Cl 0.478 0.278 0.200 1
Cl3 Cl 0.478 0.278 0.756 1
# - Uncorrected formation energy: -1.102 eV/atom
# - D(E_F): 1.94 states/eV per cell
# - Energy above the most stable polymorph in this dataset: 115 meV/atom

=====

# UHg3Cl6 PBE optimized geometry
data_UHg3Cl6
_cell_length_a 8.333
_cell_length_b 9.231
_cell_length_c 12.560
_cell_angle_alpha 90.00
_cell_angle_beta 129.47
_cell_angle_gamma 90.00
_space_group_name_H-M_alt 'P 1 21/c 1'
_space_group_IT_number 14
_space_group_name_Hall '-P 2ybc'
loop_
_atom_site_label
_atom_site_type_symbol
_atom_site_fract_x
_atom_site_fract_y
_atom_site_fract_z
_atom_site_occupancy
U1 U 0.000 0.000 0.000 1
Hg1 Hg 0.167 0.006 0.500 1
Hg2 Hg 0.500 0.000 0.500 1
Cl1 Cl 0.094 0.681 0.685 1
Cl2 Cl 0.246 0.184 0.186 1
Cl3 Cl 0.291 0.597 0.510 1
# - Uncorrected formation energy: -1.118 eV/atom
# - D(E_F): 13.28 states/eV per cell
# - Energy above the most stable polymorph in this dataset: 0 meV/atom

=====

# VHgCl2 PBE optimized geometry
data_VHgCl2
_cell_length_a 3.6323
_cell_length_b 3.6323
_cell_length_c 31.6836
_cell_angle_alpha 90.00
_cell_angle_beta 90.00
_cell_angle_gamma 120.00
_space_group_name_H-M_alt 'R -3 m'
_space_group_IT_number 166
_space_group_name_Hall '-R 3 2"'
loop_
_atom_site_label
_atom_site_type_symbol
_atom_site_fract_x
_atom_site_fract_y
_atom_site_fract_z
_atom_site_occupancy
V1 V 0.0000 0.0000 0.0000 1
Hg1 Hg 0.0000 0.0000 0.5000 1
Cl1 Cl 0.0000 0.0000 0.3757 1
# - Uncorrected formation energy: -0.828 eV/atom
# - Energy above the most stable polymorph in this dataset: 0 meV/atom

=====

# VHgCl2 PBE optimized geometry
data_VHgCl2
_cell_length_a 3.6381
_cell_length_b 3.6381
_cell_length_c 9.8775
_cell_angle_alpha 90.00
_cell_angle_beta 90.00
_cell_angle_gamma 120.00
_space_group_name_H-M_alt 'P -3 m 1'
_space_group_IT_number 164
_space_group_name_Hall '-P 3 2"'
loop_
_atom_site_label
_atom_site_type_symbol
_atom_site_fract_x
_atom_site_fract_y
_atom_site_fract_z
_atom_site_occupancy
V1 V 0.0000 0.0000 0.0000 1
Hg1 Hg 0.0000 0.0000 0.5000 1
Cl1 Cl 0.3333 0.6667 0.1353 1
# - Uncorrected formation energy: -0.827 eV/atom
# - Energy above the most stable polymorph in this dataset: 1 meV/atom

=====

# V3HgCl PBE optimized geometry
data_V3HgCl
_cell_length_a 4.318
_cell_length_b 4.318
_cell_length_c 4.318
_cell_angle_alpha 90.00
_cell_angle_beta 90.00
_cell_angle_gamma 90.00
_space_group_name_H-M_alt 'P m -3 m'
_space_group_IT_number 221
_space_group_name_Hall '-P 4 2 3'
loop_
_atom_site_label
_atom_site_type_symbol
_atom_site_fract_x
_atom_site_fract_y
_atom_site_fract_z
_atom_site_occupancy
V1 V 0.000 0.000 0.500 1
Hg1 Hg 0.500 0.500 0.500 1
Cl1 Cl 0.000 0.000 0.000 1
# - Uncorrected formation energy: 0.505 eV/atom
# - D(E_F): 5.68 states/eV per cell
# - Energy above the most stable polymorph in this dataset: 0 meV/atom